1.
{
  "formula": "YMgFe2",
  "functional": "PBE-GGA",
  "state": "optimized geometry",
  "sg": "I-42d (122)",
  "formation_energy_ev_per_fu": 2.44,
  "total_energy_ev_per_atom": -5.6350,
  "n_ef_per_ev_atom": 1.30,
  "magmom_total_mub_per_atom": 1.001,
  "cell": [[-6.196, -0.290, -3.899], [1.590, -6.861, -2.017], [-3.682, -4.561, -0.692]],
  "species": ["Fe", "Fe", "Mg", "Y", "Y", "Fe", "Fe", "Mg"],
  "fractional_positions": [[0.875, 0.855, 0.750], [0.145, 0.625, 0.250], [0.500, 0.500, 0.000], [0.750, 0.250, 0.500], [0.000, 0.000, 0.000], [0.375, 0.395, 0.750], [0.605, 0.125, 0.250], [0.250, 0.750, 0.500]]
}



2.
{
  "formula": "Ca2GdDy",
  "functional": "PBE-GGA",
  "state": "optimized geometry",
  "sg": "P4/mmm (123)",
  "formation_energy_ev_per_fu": 0.64,
  "total_energy_ev_per_atom": -5.5124,
  "n_ef_per_ev_atom": 2.04,
  "de_polymorph_mev_per_atom": 0,
  "magmom_total_mub_per_atom": 2.196,
  "cell": [[5.453, 0.000, 0.000], [0.000, 5.153, 0.000], [0.000, 0.000, 5.153]],
  "species": ["Ca", "Ca", "Gd", "Dy"],
  "fractional_positions": [[0.000, 0.000, 0.500], [0.000, 0.500, 0.000], [0.500, 0.000, 0.000], [0.500, 0.500, 0.500]]
}